19
Lattice="-3.9164 0.8171 4.3554 -6.7550 -2.5449 -2.2945 4.9177 -5.1509 3.7372" Properties=species:S:1:pos:R:3 comment="Co3Se4Cl2O10 GGA+U relaxed" total_magnetization_mub_per_atom=0.475 total_energy_ev_per_fu=-98.805 pbc="T T T"
Co -4.1903 -5.6408 2.9565
Co -1.5634 -1.2379 2.8416
Co 0.0000 0.0000 0.0000
Cl -2.3299 -0.3011 0.6388
Cl -8.3414 -1.4268 1.4220
O -0.7604 -4.5868 4.1919
O 0.6661 -3.4872 6.1605
O -1.6960 -3.1237 1.9910
O -4.9933 -2.2919 1.6062
O -3.5810 -1.1329 3.5509
O -0.8368 -1.8291 4.6909
O -2.1727 -5.7458 2.2472
O -6.4198 -3.3915 -0.3624
O -4.0576 -3.7550 3.8071
O -4.9168 -5.0496 1.1072
Se -0.9196 -3.3139 5.4981
Se -4.8341 -3.5648 0.3000
Se -4.8441 -2.3048 3.4309
Se -0.9095 -4.5739 2.3672